(P)
Here is crystalline Sn2TeI at its relaxed geometry from Alexandria. Energies are from PBE.

Results
N(E_F) in states/eV/atom: 0.515

Lattice parameters (Å, degrees): 8.5614 8.5614 7.8197 90.00 90.00 90.00
Last column: nearest neighbours and their distance in Å.
Space group I-42d (No. 122)
Inequivalent atoms, fractional coordinates:
Sn 0.2283 0.2500 0.1250  2 Te 3.06, 2 I 3.31
Te 0.0000 0.0000 0.0000  4 Sn 3.06
I 0.0000 0.0000 0.5000  4 Sn 3.31



(Q)
Here is crystalline Sn2TeI at its relaxed geometry from Alexandria. Energies are from PBE.

Results
N(E_F) in states/eV/atom: 0.466

Lattice parameters (Å, degrees): 4.2250 4.2250 26.5848 90.00 90.00 120.00
Last column: nearest neighbours and their distance in Å.
Space group R-3m (No. 166, hexagonal axes)
Inequivalent atoms, fractional coordinates:
Sn 0.0000 0.0000 0.2430  3 Te 3.17, 3 I 3.42
Te 0.0000 0.0000 0.5000  6 Sn 3.17
I 0.0000 0.0000 0.0000  6 Sn 3.42



(R)
Here is crystalline Sn2TeI at its relaxed geometry from Alexandria. Energies are from PBE.

Results
N(E_F) in states/eV/atom: 0.307

Lattice parameters (Å, degrees): 10.1634 16.8513 7.5206 90.00 120.13 90.00
Last column: nearest neighbours and their distance in Å.
Space group C2/c (No. 15)
Inequivalent atoms, fractional coordinates:
Sn 0.2365 0.1879 0.2869  3 Te 3.11-3.15
Sn 0.2401 0.0662 0.7222  3 Te 3.14-3.34, 3 I 3.26-3.50
Te 0.0000 0.0616 0.2500  6 Sn 3.12-3.34
Te 0.0000 0.3138 0.2500  6 Sn 3.11-3.25
I 0.0000 0.1864 0.7500  6 Sn 3.26-3.53
I 0.0000 0.4411 0.7500  6 Sn 3.30-3.57



(S)
Here is crystalline Sn2TeI at its relaxed geometry from Alexandria. Energies are from PBE.

Results
N(E_F) in states/eV/atom: 0.322

Lattice parameters (Å, degrees): 7.8797 7.8797 7.8797 90.00 90.00 90.00
Last column: nearest neighbours and their distance in Å.
Space group Fm-3m (No. 225)
Inequivalent atoms, fractional coordinates:
Sn 0.2500 0.2500 0.2500  4 Te 3.41, 4 I 3.41
Te 0.0000 0.0000 0.0000  8 Sn 3.41
I 0.0000 0.0000 0.5000  8 Sn 3.41



Winner for stability: (R)